# 1
This record from Alexandria via LeMat-Bulk describes an optimized crystal structure of BaHg4Au. The functional is PBE-GGA.

Structure (POSCAR):
```
BaHg4Au
1.0
-4.415 -3.384 -2.777
-5.891 1.989 -0.019
-2.588 2.003 -5.287
Ba Hg Au
1 4 1
direct
0.000 0.000 0.000
0.872 0.376 0.376
0.376 0.376 0.872
0.376 0.872 0.376
0.376 0.376 0.376
0.750 0.750 0.750
```

Properties
Symmetry: F-43m
Density of states at the Fermi level, states/eV per cell: 3.43
Formation energy from the elements, eV/f.u.: -1.36
Distance to the lowest polymorph of the same formula, eV per formula unit: 0.63
Calculated volume, Å³/cell: 169.98


# 2
This record from Alexandria via LeMat-Bulk describes an optimized crystal structure of Ba3Hg2Au4. The functional is PBE-GGA.

Structure (POSCAR):
```
Ba3Hg2Au4
1.0
4.967 0.000 0.000
-2.484 5.800 -1.802
0.000 -0.385 9.651
Ba Hg Au
3 2 4
direct
0.660 0.320 0.675
0.000 0.000 0.000
0.340 0.680 0.325
0.623 0.245 0.288
0.377 0.755 0.712
0.721 0.441 0.052
0.279 0.559 0.948
0.937 0.874 0.601
0.063 0.126 0.399
```

Properties
Symmetry: C2/m
Density of states at the Fermi level, states/eV per cell: 6.39
Formation energy from the elements, eV/f.u.: -5.83
Calculated volume, Å³/cell: 274.59


# 3
This record from Alexandria via LeMat-Bulk describes an optimized crystal structure of Ba3Hg3Au8. The functional is PBE-GGA.

Structure (POSCAR):
```
Ba3Hg3Au8
1.0
-0.671 4.827 0.824
-8.736 0.826 2.872
-0.899 0.844 9.150
Ba Hg Au
3 3 8
direct
0.500 0.500 0.500
0.798 0.202 0.202
0.202 0.798 0.798
0.500 0.000 0.000
0.000 0.793 0.207
0.000 0.207 0.793
0.641 0.080 0.637
0.359 0.920 0.363
0.641 0.637 0.080
0.359 0.363 0.920
0.835 0.803 0.527
0.165 0.197 0.473
0.835 0.527 0.803
0.165 0.473 0.197
```

Properties
Symmetry: Immm
Density of states at the Fermi level, states/eV per cell: 4.52
Formation energy from the elements, eV/f.u.: -6.89
Calculated volume, Å³/cell: 364.43